Record 1
# MgOsBr2

MgOsBr2 after structural relaxation (PBE, Alexandria via LeMat-Bulk).

a b c (Å): 3.3482 3.3482 9.7618
angles (deg): 90.00 90.00 123.76
Fractional positions:
Mg (0.0000, 0.0000, 0.0000)
Os (0.0000, 0.0000, 0.5000)
Br (0.5000, 0.5000, 0.2972)
Br (0.5000, 0.5000, 0.7028)

symmetry	Cmmm
raw formation energy	0.622	eV per atom
total moment	0.0	μB/f.u.
D(E_F)	2.39	states/eV/f.u.
energy relative to the lowest polymorph listed for this composition	623	meV per atom
electronic total energy	-13.68	eV/cell

Record 2
# Mg2OsBr

Mg2OsBr after structural relaxation (PBE, Alexandria via LeMat-Bulk).

a b c (Å): 8.4382 8.4382 8.4382
angles (deg): 22.29 22.29 22.29
Fractional positions:
Mg (0.2442, 0.2442, 0.2442)
Mg (0.7558, 0.7558, 0.7558)
Os (0.5000, 0.5000, 0.5000)
Br (0.0000, 0.0000, 0.0000)

symmetry	R-3m
raw formation energy	0.036	eV per atom
total moment	0.0	μB/f.u.
D(E_F)	2.67	states/eV/f.u.
energy relative to the lowest polymorph listed for this composition	101	meV per atom
electronic total energy	-15.95	eV/cell

Record 3
# Mg2OsBr

Mg2OsBr after structural relaxation (PBE, Alexandria via LeMat-Bulk).

a b c (Å): 4.6788 4.6788 4.6788
angles (deg): 60.00 60.00 60.00
Fractional positions:
Mg (0.0000, 0.0000, 0.0000)
Mg (0.2500, 0.2500, 0.2500)
Os (0.5000, 0.5000, 0.5000)
Br (0.7500, 0.7500, 0.7500)

symmetry	F-43m
raw formation energy	0.696	eV per atom
total moment	0.0	μB/f.u.
D(E_F)	5.07	states/eV/f.u.
energy relative to the lowest polymorph listed for this composition	761	meV per atom
electronic total energy	-13.31	eV/cell